Entry 1:
A plane-wave DFT calculation with PBE was carried out for a relaxed BaSn3Ir3 crystal.

Results
- Total moment: 0.000 μB per atom
- Crystal system: cubic
- Total DFT energy (no corrections): -81.8 eV per cell
- DFT formation energy: -0.052 eV/atom

CIF file:
```
data_BaSn3Ir3
_chemical_formula_sum 'Ba2 Sn6 Ir6'
_space_group_name_H-M_alt 'P 1'
_space_group_IT_number 1
_cell_length_a 7.326
_cell_length_b 7.326
_cell_length_c 7.326
_cell_angle_alpha 90.00
_cell_angle_beta 90.00
_cell_angle_gamma 90.00
loop_
_space_group_symop_operation_xyz
'x,y,z'
loop_
_atom_site_label
_atom_site_type_symbol
_atom_site_fract_x
_atom_site_fract_y
_atom_site_fract_z
_atom_site_occupancy
Ba1 Ba 0.000 0.000 0.000 1
Ba2 Ba 0.500 0.500 0.500 1
Sn1 Sn 0.000 0.250 0.500 1
Sn2 Sn 0.000 0.750 0.500 1
Sn3 Sn 0.250 0.500 0.000 1
Sn4 Sn 0.500 0.000 0.250 1
Sn5 Sn 0.500 0.000 0.750 1
Sn6 Sn 0.750 0.500 0.000 1
Ir1 Ir 0.000 0.500 0.250 1
Ir2 Ir 0.000 0.500 0.750 1
Ir3 Ir 0.250 0.000 0.500 1
Ir4 Ir 0.500 0.250 0.000 1
Ir5 Ir 0.500 0.750 0.000 1
Ir6 Ir 0.750 0.000 0.500 1
```

Entry 2:
A plane-wave DFT calculation with PBE was carried out for a relaxed Hg2RhF6 crystal.

Results
- Uncorrected formation energy: -1.369 eV per atom
- Total moment: 0.000 μB per atom
- Crystal system: tetragonal
- Total DFT energy (no corrections): -63.0 eV per cell
- ΔE to the lowest computed polymorph: 0 meV per atom

CIF file:
```
data_Hg2RhF6
_chemical_formula_sum 'Hg4 Rh2 F12'
_space_group_name_H-M_alt 'P 1'
_space_group_IT_number 1
_cell_length_a 5.552
_cell_length_b 5.552
_cell_length_c 10.033
_cell_angle_alpha 90.00
_cell_angle_beta 90.00
_cell_angle_gamma 90.00
loop_
_space_group_symop_operation_xyz
'x,y,z'
loop_
_atom_site_label
_atom_site_type_symbol
_atom_site_fract_x
_atom_site_fract_y
_atom_site_fract_z
_atom_site_occupancy
Hg1 Hg 0.000 0.000 0.150 1
Hg2 Hg 0.000 0.000 0.850 1
Hg3 Hg 0.500 0.500 0.350 1
Hg4 Hg 0.500 0.500 0.650 1
Rh1 Rh 0.000 0.000 0.500 1
Rh2 Rh 0.500 0.500 0.000 1
F1 F 0.171 0.171 0.351 1
F2 F 0.171 0.171 0.649 1
F3 F 0.243 0.243 0.000 1
F4 F 0.257 0.743 0.500 1
F5 F 0.329 0.671 0.149 1
F6 F 0.329 0.671 0.851 1
F7 F 0.671 0.329 0.149 1
F8 F 0.671 0.329 0.851 1
F9 F 0.743 0.257 0.500 1
F10 F 0.757 0.757 0.000 1
F11 F 0.829 0.829 0.351 1
F12 F 0.829 0.829 0.649 1
```